# 1
A relaxed structure of SrSb4Pt. Source: Alexandria, functional PBE.

CIF file:
```
data_SrSb4Pt
_space_group_name_H-M_alt 'F -4 3 m'
_space_group_IT_number 216
_space_group_name_Hall 'F -4 2 3'
_cell_length_a 8.765
_cell_length_b 8.765
_cell_length_c 8.765
_cell_angle_alpha 90.00
_cell_angle_beta 90.00
_cell_angle_gamma 90.00
loop_
_atom_site_label
_atom_site_fract_x
_atom_site_fract_y
_atom_site_fract_z
Sr1 0.000 0.000 0.000
Sb1 0.124 0.124 0.376
Pt1 0.250 0.250 0.750
```

- Final energy: -0.14604 hartree per atom
- Total magnetization: 0.00 Bohr magnetons per cell
- Formation energy (no corrections): 61 meV/atom

---

# 2
A relaxed structure of SrSb2Pt. Source: Alexandria, functional PBE.

CIF file:
```
data_SrSb2Pt
_space_group_name_H-M_alt 'R -3 m'
_space_group_IT_number 166
_space_group_name_Hall '-R 3 2"'
_cell_length_a 4.3405
_cell_length_b 4.3405
_cell_length_c 20.0511
_cell_angle_alpha 90.00
_cell_angle_beta 90.00
_cell_angle_gamma 120.00
loop_
_atom_site_label
_atom_site_fract_x
_atom_site_fract_y
_atom_site_fract_z
Sr1 0.0000 0.0000 0.0000
Sb1 0.0000 0.0000 0.2247
Pt1 0.0000 0.0000 0.5000
```

- Final energy: -0.17098 hartree per atom
- Total magnetization: 0.00 Bohr magnetons per cell
- Formation energy (no corrections): -661 meV/atom

---

# 3
A relaxed structure of SrSbPt2. Source: Alexandria, functional PBE.

CIF file:
```
data_SrSbPt2
_space_group_name_H-M_alt 'P 4 m m'
_space_group_IT_number 99
_space_group_name_Hall 'P 4 -2'
_cell_length_a 3.798
_cell_length_b 3.798
_cell_length_c 6.442
_cell_angle_alpha 90.00
_cell_angle_beta 90.00
_cell_angle_gamma 90.00
loop_
_atom_site_label
_atom_site_fract_x
_atom_site_fract_y
_atom_site_fract_z
Sr1 0.000 0.000 0.000
Sb1 0.500 0.500 0.627
Pt1 0.000 0.000 0.497
Pt2 0.500 0.500 0.227
```

- Final energy: -0.18051 hartree per atom
- Total magnetization: 0.00 Bohr magnetons per cell
- Formation energy (no corrections): -440 meV/atom

---

# 4
A relaxed structure of SrSb2Pt. Source: Alexandria, functional PBE.

CIF file:
```
data_SrSb2Pt
_space_group_name_H-M_alt 'C m m m'
_space_group_IT_number 65
_space_group_name_Hall '-C 2 2'
_cell_length_a 6.590
_cell_length_b 6.626
_cell_length_c 4.524
_cell_angle_alpha 90.00
_cell_angle_beta 90.00
_cell_angle_gamma 90.00
loop_
_atom_site_label
_atom_site_fract_x
_atom_site_fract_y
_atom_site_fract_z
Sr1 0.000 0.000 0.000
Sb1 0.250 0.250 0.500
Pt1 0.000 0.500 0.000
```

- Final energy: -0.16051 hartree per atom
- Total magnetization: 0.00 Bohr magnetons per cell
- Formation energy (no corrections): -376 meV/atom

---

# 5
A relaxed structure of SrSbPt2. Source: Alexandria, functional PBE.

CIF file:
```
data_SrSbPt2
_space_group_name_H-M_alt 'I -4 m 2'
_space_group_IT_number 119
_space_group_name_Hall 'I -4 -2'
_cell_length_a 4.265
_cell_length_b 4.265
_cell_length_c 9.452
_cell_angle_alpha 90.00
_cell_angle_beta 90.00
_cell_angle_gamma 90.00
loop_
_atom_site_label
_atom_site_fract_x
_atom_site_fract_y
_atom_site_fract_z
Sr1 0.000 0.000 0.000
Sb1 0.000 0.500 0.250
Pt1 0.000 0.000 0.500
Pt2 0.000 0.500 0.750
```

- Final energy: -0.17845 hartree per atom
- Total magnetization: 0.00 Bohr magnetons per cell
- Formation energy (no corrections): -385 meV/atom

---

# 6
A relaxed structure of SrSb2Pt. Source: Alexandria, functional PBE.

CIF file:
```
data_SrSb2Pt
_space_group_name_H-M_alt 'C 1 m 1'
_space_group_IT_number 8
_space_group_name_Hall 'C -2y'
_cell_length_a 10.247
_cell_length_b 4.282
_cell_length_c 5.884
_cell_angle_alpha 90.00
_cell_angle_beta 117.27
_cell_angle_gamma 90.00
loop_
_atom_site_label
_atom_site_fract_x
_atom_site_fract_y
_atom_site_fract_z
Sr1 0.000 0.000 0.000
Sb1 0.191 0.000 0.650
Sb2 0.408 0.000 0.420
Pt1 0.240 0.500 0.413
```

- Final energy: -0.16753 hartree per atom
- Total magnetization: 0.00 Bohr magnetons per cell
- Formation energy (no corrections): -567 meV/atom

---

# 7
A relaxed structure of SrSb2Pt. Source: Alexandria, functional PBE.

CIF file:
```
data_SrSb2Pt
_space_group_name_H-M_alt 'P 4 m m'
_space_group_IT_number 99
_space_group_name_Hall 'P 4 -2'
_cell_length_a 3.536
_cell_length_b 3.536
_cell_length_c 8.743
_cell_angle_alpha 90.00
_cell_angle_beta 90.00
_cell_angle_gamma 90.00
loop_
_atom_site_label
_atom_site_fract_x
_atom_site_fract_y
_atom_site_fract_z
Sr1 0.000 0.000 0.000
Sb1 0.000 0.000 0.394
Sb2 0.500 0.500 0.725
Pt1 0.500 0.500 0.258
```

- Final energy: -0.16052 hartree per atom
- Total magnetization: 0.00 Bohr magnetons per cell
- Formation energy (no corrections): -376 meV/atom

---

# 8
A relaxed structure of SrSbPt2. Source: Alexandria, functional PBE.

CIF file:
```
data_SrSbPt2
_space_group_name_H-M_alt 'P 1 m 1'
_space_group_IT_number 6
_space_group_name_Hall 'P -2y'
_cell_length_a 4.666
_cell_length_b 4.409
_cell_length_c 5.219
_cell_angle_alpha 90.00
_cell_angle_beta 103.24
_cell_angle_gamma 90.00
loop_
_atom_site_label
_atom_site_fract_x
_atom_site_fract_y
_atom_site_fract_z
Sr1 0.000 0.000 0.000
Sb1 0.609 0.500 0.385
Pt1 0.419 0.000 0.567
Pt2 0.446 0.500 0.876
```

- Final energy: -0.18809 hartree per atom
- Total magnetization: 0.00 Bohr magnetons per cell
- Formation energy (no corrections): -647 meV/atom

---

# 9
A relaxed structure of SrSbPt2. Source: Alexandria, functional PBE.

CIF file:
```
data_SrSbPt2
_space_group_name_H-M_alt 'F -4 3 m'
_space_group_IT_number 216
_space_group_name_Hall 'F -4 2 3'
_cell_length_a 7.015
_cell_length_b 7.015
_cell_length_c 7.015
_cell_angle_alpha 90.00
_cell_angle_beta 90.00
_cell_angle_gamma 90.00
loop_
_atom_site_label
_atom_site_fract_x
_atom_site_fract_y
_atom_site_fract_z
Sr1 0.000 0.000 0.000
Sb1 0.250 0.250 0.250
Pt1 0.000 0.000 0.500
Pt2 0.250 0.250 0.750
```

- Final energy: -0.17210 hartree per atom
- Total magnetization: 0.00 Bohr magnetons per cell
- Formation energy (no corrections): -212 meV/atom

---

# 10
A relaxed structure of SrSb2Pt. Source: Alexandria, functional PBE.

CIF file:
```
data_SrSb2Pt
_space_group_name_H-M_alt 'I m m m'
_space_group_IT_number 71
_space_group_name_Hall '-I 2 2'
_cell_length_a 4.849
_cell_length_b 9.506
_cell_length_c 18.485
_cell_angle_alpha 90.00
_cell_angle_beta 90.00
_cell_angle_gamma 90.00
loop_
_atom_site_label
_atom_site_fract_x
_atom_site_fract_y
_atom_site_fract_z
Sr1 0.000 0.000 0.198
Sr2 0.000 0.250 0.000
Sb1 0.000 0.000 0.422
Sb2 0.000 0.341 0.201
Sb3 0.000 0.500 0.422
Pt1 0.000 0.248 0.346
```

- Final energy: -0.17359 hartree per atom
- Total magnetization: 0.00 Bohr magnetons per cell
- Formation energy (no corrections): -732 meV/atom

---

# 11
A relaxed structure of SrSbPt2. Source: Alexandria, functional PBE.

CIF file:
```
data_SrSbPt2
_space_group_name_H-M_alt 'C 1 m 1'
_space_group_IT_number 8
_space_group_name_Hall 'C -2y'
_cell_length_a 9.116
_cell_length_b 4.153
_cell_length_c 5.518
_cell_angle_alpha 90.00
_cell_angle_beta 108.40
_cell_angle_gamma 90.00
loop_
_atom_site_label
_atom_site_fract_x
_atom_site_fract_y
_atom_site_fract_z
Sr1 0.000 0.000 0.000
Sb1 0.219 0.000 0.605
Pt1 0.000 0.500 0.461
Pt2 0.292 0.500 0.380
```

- Final energy: -0.18934 hartree per atom
- Total magnetization: 0.00 Bohr magnetons per cell
- Formation energy (no corrections): -681 meV/atom

---

# 12
A relaxed structure of Sr2SbPt2. Source: Alexandria, functional PBE.

CIF file:
```
data_Sr2SbPt2
_space_group_name_H-M_alt 'I 4/m m m'
_space_group_IT_number 139
_space_group_name_Hall '-I 4 2'
_cell_length_a 6.032
_cell_length_b 6.032
_cell_length_c 7.845
_cell_angle_alpha 90.00
_cell_angle_beta 90.00
_cell_angle_gamma 90.00
loop_
_atom_site_label
_atom_site_fract_x
_atom_site_fract_y
_atom_site_fract_z
Sr1 0.000 0.500 0.250
Sb1 0.000 0.000 0.000
Pt1 0.000 0.000 0.338
```

- Final energy: -0.17043 hartree per atom
- Energy above the most stable polymorph in this dataset: 211 meV/atom
- Total magnetization: 0.00 Bohr magnetons per cell
- Formation energy (no corrections): -724 meV/atom

---

Question: Which value of total magnetization does entry 6 give?
Answer: 0.00 Bohr magnetons per cell

---

Please write out number 6 again, unchanged.
A relaxed structure of SrSb2Pt. Source: Alexandria, functional PBE.

CIF file:
```
data_SrSb2Pt
_space_group_name_H-M_alt 'C 1 m 1'
_space_group_IT_number 8
_space_group_name_Hall 'C -2y'
_cell_length_a 10.247
_cell_length_b 4.282
_cell_length_c 5.884
_cell_angle_alpha 90.00
_cell_angle_beta 117.27
_cell_angle_gamma 90.00
loop_
_atom_site_label
_atom_site_fract_x
_atom_site_fract_y
_atom_site_fract_z
Sr1 0.000 0.000 0.000
Sb1 0.191 0.000 0.650
Sb2 0.408 0.000 0.420
Pt1 0.240 0.500 0.413
```

- Final energy: -0.16753 hartree per atom
- Total magnetization: 0.00 Bohr magnetons per cell
- Formation energy (no corrections): -567 meV/atom